(1)
! CaLa3Pr8, optimized geometry, DFT PBE; values from VASP
&SYSTEM
  ibrav = 0, nat = 12, ntyp = 3
/
ATOMIC_SPECIES
Ca 40.08 Ca.upf
La 138.91 La.upf
Pr 140.91 Pr.upf
CELL_PARAMETERS angstrom
-3.3411 5.9129 5.9673
3.3411 -5.9129 5.9673
3.3411 5.9129 -5.9673
ATOMIC_POSITIONS angstrom
Ca 0.0000 0.0000 0.0000
La 3.3411 0.0000 3.1456
La 0.0000 0.0000 5.9673
La 0.0000 5.9129 2.8217
Pr 3.3411 3.8577 -2.9767
Pr 1.6526 3.0409 0.0000
Pr 1.6885 -2.8719 5.9673
Pr 0.0000 2.0552 2.9906
Pr 3.3411 3.8577 2.9767
Pr 1.6526 8.7848 0.0000
Pr 1.6885 2.8719 5.9673
Pr 0.0000 2.0552 8.9440
! Total moment = 0.0 μB per cell
! E = -4.321 eV/atom
! Calculated formation energy = 306 kJ/mol of formula units

---

(2)
! LiLa2PrSe4, optimized geometry, DFT PBE; values from VASP
&SYSTEM
  ibrav = 0, nat = 8, ntyp = 4
/
ATOMIC_SPECIES
Li 6.94 Li.upf
La 138.91 La.upf
Pr 140.91 Pr.upf
Se 78.96 Se.upf
CELL_PARAMETERS angstrom
7.2826 0.0000 0.0000
0.0000 4.2658 0.0000
-2.4996 0.0000 6.9803
ATOMIC_POSITIONS angstrom
Li 0.0000 0.0000 0.0000
La 2.3915 0.0000 3.4902
La 3.6413 2.1329 0.0000
Pr -1.2498 2.1329 3.4902
Se 1.1411 2.1329 1.6772
Se -0.1283 0.0000 5.2777
Se 4.9113 0.0000 1.7026
Se 3.6419 2.1329 5.3031
! Total moment = 0.0 μB per cell
! E_form (uncorrected) = -1.827 eV per atom
! E = -5.638 eV/atom

---

(3)
! KSn2Au3, optimized geometry, DFT PBE; values from VASP
&SYSTEM
  ibrav = 0, nat = 12, ntyp = 3
/
ATOMIC_SPECIES
K 39.10 K.upf
Sn 118.71 Sn.upf
Au 196.97 Au.upf
CELL_PARAMETERS angstrom
8.7438 -2.3431 0.0000
8.7438 2.3431 0.0000
-0.4616 0.0000 8.0037
ATOMIC_POSITIONS angstrom
K 1.7289 0.0000 1.3870
K 15.2971 0.0000 6.6167
Sn 3.5365 0.0000 5.8335
Sn 7.4812 0.0000 1.9153
Sn 9.5448 0.0000 6.0884
Sn 13.4895 0.0000 2.1702
Au 0.9773 0.0000 4.6597
Au 5.0893 0.0000 0.5020
Au 5.5498 0.0000 4.0124
Au 11.4762 0.0000 3.9913
Au 11.9367 0.0000 7.5017
Au 16.0487 0.0000 3.3440
! Total moment = 0.0 μB per cell
! E = -3.389 eV/atom
! Calculated formation energy = -135 kJ/mol of formula units

---

(4)
! CuSbW2, optimized geometry, DFT PBE; values from VASP
&SYSTEM
  ibrav = 0, nat = 8, ntyp = 3
/
ATOMIC_SPECIES
Cu 63.55 Cu.upf
Sb 121.76 Sb.upf
W 183.84 W.upf
CELL_PARAMETERS angstrom
-1.9079 1.9079 9.8311
1.9079 -1.9079 9.8311
1.9079 1.9079 -9.8311
ATOMIC_POSITIONS angstrom
Cu 0.0000 0.0000 0.0000
Cu 0.0000 1.9079 4.9155
Sb 1.9079 0.0000 4.9155
Sb 0.0000 0.0000 9.8311
W 2.8618 0.8633 -2.4578
W 0.8633 0.9539 2.4578
W -0.9539 1.0445 7.3733
W 1.0445 0.9539 12.2888
! Total moment = 0.0 μB per cell
! E_form (uncorrected) = 0.747 eV per atom
! E = -7.784 eV/atom

---

Question: Look up the total moment of the first one.
Answer: 0.0 μB per cell

---

Question: Number 4 is which compound?
Answer: CuSbW2

---

Question: Which of these has the lowest E?
Answer: CuSbW2